## RbCdF3 (PBE)

Data for an optimized crystal structure of RbCdF3.

Summary:
Energy relative to the elements, uncorrected, eV/atom: -2.415
DOS at the Fermi energy, states/eV per cell: 0.00
Crystal system: monoclinic

```
RbCdF3
1.0
6.118 -2.201 0.000
6.118 2.201 0.000
-1.090 0.000 7.425
Rb Cd F
2 2 6
direct
0.124 0.124 0.383 Rb
0.876 0.876 0.617 Rb
0.369 0.369 0.083 Cd
0.631 0.631 0.917 Cd
0.175 0.175 0.976 F
0.346 0.346 0.367 F
0.444 0.444 0.825 F
0.556 0.556 0.175 F
0.654 0.654 0.633 F
0.825 0.825 0.024 F
```